1.
! PBE TbSm2Hg4, relaxed; values from VASP
! SG: I4/mmm
! Energy of formation (eV/f.u.): -0.05
! Offset from the most stable computed form (eV per atom): 0.336
! Total magnetic moment (Bohr magnetons per cell): 0.00
&SYSTEM
  ibrav = 0, nat = 14, ntyp = 3
/
ATOMIC_SPECIES
Tb 158.93 Tb.upf
Sm 150.36 Sm.upf
Hg 200.59 Hg.upf
CELL_PARAMETERS angstrom
5.6466 0.0000 0.0000
0.0000 5.6466 0.0000
0.0000 0.0000 15.5542
ATOMIC_POSITIONS crystal
Tb 0.0000 0.0000 0.0000
Tb 0.5000 0.5000 0.5000
Sm 0.0000 0.0000 0.3959
Sm 0.0000 0.0000 0.6041
Sm 0.5000 0.5000 0.1041
Sm 0.5000 0.5000 0.8959
Hg 0.0000 0.0000 0.1956
Hg 0.0000 0.0000 0.8044
Hg 0.0000 0.5000 0.0000
Hg 0.0000 0.5000 0.5000
Hg 0.5000 0.0000 0.0000
Hg 0.5000 0.0000 0.5000
Hg 0.5000 0.5000 0.3044
Hg 0.5000 0.5000 0.6956


2.
! PBE Tb5Sm12Hg2, relaxed; values from VASP
! SG: C2/m
! Energy of formation (eV/f.u.): 2.18
! Total magnetic moment (Bohr magnetons per cell): 0.00
&SYSTEM
  ibrav = 0, nat = 19, ntyp = 3
/
ATOMIC_SPECIES
Tb 158.93 Tb.upf
Sm 150.36 Sm.upf
Hg 200.59 Hg.upf
CELL_PARAMETERS angstrom
8.6481 -4.2260 0.0000
8.6481 4.2260 0.0000
-1.8166 0.0000 8.5312
ATOMIC_POSITIONS crystal
Tb 0.0000 0.0000 0.0000
Tb 0.2045 0.2045 0.4541
Tb 0.2128 0.2128 0.0159
Tb 0.7872 0.7872 0.9841
Tb 0.7955 0.7955 0.5459
Sm 0.0351 0.0351 0.6711
Sm 0.1015 0.5510 0.2911
Sm 0.1763 0.5844 0.7549
Sm 0.4156 0.8237 0.2451
Sm 0.4420 0.4420 0.1240
Sm 0.4490 0.8985 0.7089
Sm 0.5510 0.1015 0.2911
Sm 0.5580 0.5580 0.8760
Sm 0.5844 0.1763 0.7549
Sm 0.8237 0.4156 0.2451
Sm 0.8985 0.4490 0.7089
Sm 0.9649 0.9649 0.3289
Hg 0.3321 0.6679 0.5000
Hg 0.6679 0.3321 0.5000


3.
! PBE Tb4SmHg5, relaxed; values from VASP
! SG: P4/mmm
! Energy of formation (eV/f.u.): -4.78
! Total magnetic moment (Bohr magnetons per cell): 1.08
&SYSTEM
  ibrav = 0, nat = 10, ntyp = 3
/
ATOMIC_SPECIES
Tb 158.93 Tb.upf
Sm 150.36 Sm.upf
Hg 200.59 Hg.upf
CELL_PARAMETERS angstrom
3.7470 0.0000 0.0000
0.0000 3.7470 0.0000
0.0000 0.0000 18.7649
ATOMIC_POSITIONS crystal
Tb 0.0000 0.0000 0.0993
Tb 0.0000 0.0000 0.2981
Tb 0.0000 0.0000 0.7019
Tb 0.0000 0.0000 0.9007
Sm 0.0000 0.0000 0.5000
Hg 0.5000 0.5000 0.0000
Hg 0.5000 0.5000 0.1987
Hg 0.5000 0.5000 0.3953
Hg 0.5000 0.5000 0.6047
Hg 0.5000 0.5000 0.8013


4.
! PBE Tb4SmHg2, relaxed; values from VASP
! SG: R-3m
! Energy of formation (eV/f.u.): 0.22
! Total magnetic moment (Bohr magnetons per cell): 0.10
&SYSTEM
  ibrav = 0, nat = 7, ntyp = 3
/
ATOMIC_SPECIES
Tb 158.93 Tb.upf
Sm 150.36 Sm.upf
Hg 200.59 Hg.upf
CELL_PARAMETERS angstrom
2.5358 1.4640 10.2706
-2.5358 1.4640 10.2706
0.0000 -2.9280 10.2706
ATOMIC_POSITIONS crystal
Tb 0.1065 0.1065 0.1065
Tb 0.2972 0.2972 0.2972
Tb 0.7028 0.7028 0.7028
Tb 0.8935 0.8935 0.8935
Sm 0.5000 0.5000 0.5000
Hg 0.3987 0.3987 0.3987
Hg 0.6013 0.6013 0.6013


5.
! PBE Tb3Sm4Hg, relaxed; values from VASP
! SG: P4/mmm
! Energy of formation (eV/f.u.): -0.82
! Total magnetic moment (Bohr magnetons per cell): 0.00
&SYSTEM
  ibrav = 0, nat = 8, ntyp = 3
/
ATOMIC_SPECIES
Tb 158.93 Tb.upf
Sm 150.36 Sm.upf
Hg 200.59 Hg.upf
CELL_PARAMETERS angstrom
3.6293 0.0000 0.0000
0.0000 3.6293 0.0000
0.0000 0.0000 19.1897
ATOMIC_POSITIONS crystal
Tb 0.0000 0.0000 0.0000
Tb 0.0000 0.0000 0.2618
Tb 0.0000 0.0000 0.7382
Sm 0.5000 0.5000 0.1308
Sm 0.5000 0.5000 0.3933
Sm 0.5000 0.5000 0.6067
Sm 0.5000 0.5000 0.8692
Hg 0.0000 0.0000 0.5000


6.
! PBE Tb3Sm2Hg3, relaxed; values from VASP
! SG: Immm
! Energy of formation (eV/f.u.): -2.83
! Total magnetic moment (Bohr magnetons per cell): 0.00
&SYSTEM
  ibrav = 0, nat = 16, ntyp = 3
/
ATOMIC_SPECIES
Tb 158.93 Tb.upf
Sm 150.36 Sm.upf
Hg 200.59 Hg.upf
CELL_PARAMETERS angstrom
3.7685 0.0000 0.0000
0.0000 5.3396 0.0000
0.0000 0.0000 22.3096
ATOMIC_POSITIONS crystal
Tb 0.0000 0.0000 0.0000
Tb 0.0000 0.5000 0.1196
Tb 0.0000 0.5000 0.8804
Tb 0.5000 0.0000 0.3804
Tb 0.5000 0.0000 0.6196
Tb 0.5000 0.5000 0.5000
Sm 0.0000 0.0000 0.2316
Sm 0.0000 0.0000 0.7684
Sm 0.5000 0.5000 0.2684
Sm 0.5000 0.5000 0.7316
Hg 0.0000 0.0000 0.5000
Hg 0.0000 0.5000 0.3841
Hg 0.0000 0.5000 0.6159
Hg 0.5000 0.0000 0.1159
Hg 0.5000 0.0000 0.8841
Hg 0.5000 0.5000 0.0000


7.
! PBE TbSmHg4, relaxed; values from VASP
! SG: C2/m
! Energy of formation (eV/f.u.): -2.10
! Offset from the most stable computed form (eV per atom): 0.000
! Total magnetic moment (Bohr magnetons per cell): 0.58
&SYSTEM
  ibrav = 0, nat = 12, ntyp = 3
/
ATOMIC_SPECIES
Tb 158.93 Tb.upf
Sm 150.36 Sm.upf
Hg 200.59 Hg.upf
CELL_PARAMETERS angstrom
11.7156 0.0000 0.0000
0.0000 3.6961 0.0000
-2.3662 0.0000 7.0602
ATOMIC_POSITIONS crystal
Tb 0.0000 0.0000 0.0000
Tb 0.5000 0.5000 0.0000
Sm 0.0000 0.0000 0.5000
Sm 0.5000 0.5000 0.5000
Hg 0.1686 0.5000 0.8390
Hg 0.1701 0.5000 0.3308
Hg 0.3299 0.0000 0.6692
Hg 0.3314 0.0000 0.1610
Hg 0.6686 0.0000 0.8390
Hg 0.6701 0.0000 0.3308
Hg 0.8299 0.5000 0.6692
Hg 0.8314 0.5000 0.1610


8.
! PBE Tb2SmHg2, relaxed; values from VASP
! SG: P2_1/m
! Energy of formation (eV/f.u.): -1.92
! Offset from the most stable computed form (eV per atom): 0.000
! Total magnetic moment (Bohr magnetons per cell): 0.00
&SYSTEM
  ibrav = 0, nat = 10, ntyp = 3
/
ATOMIC_SPECIES
Tb 158.93 Tb.upf
Sm 150.36 Sm.upf
Hg 200.59 Hg.upf
CELL_PARAMETERS angstrom
3.7643 0.0000 0.0000
0.0000 5.3721 0.0000
-1.8835 0.0000 13.7286
ATOMIC_POSITIONS crystal
Tb 0.0482 0.2500 0.0952
Tb 0.2356 0.2500 0.4718
Tb 0.7644 0.7500 0.5282
Tb 0.9518 0.7500 0.9048
Sm 0.1474 0.7500 0.2922
Sm 0.8526 0.2500 0.7078
Hg 0.3556 0.7500 0.7124
Hg 0.4537 0.2500 0.9072
Hg 0.5463 0.7500 0.0928
Hg 0.6444 0.2500 0.2876


9.
! PBE TbSm3Hg2, relaxed; values from VASP
! SG: Ibam
! Energy of formation (eV/f.u.): -0.49
! Offset from the most stable computed form (eV per atom): 0.258
! Total magnetic moment (Bohr magnetons per cell): 0.00
&SYSTEM
  ibrav = 0, nat = 12, ntyp = 3
/
ATOMIC_SPECIES
Tb 158.93 Tb.upf
Sm 150.36 Sm.upf
Hg 200.59 Hg.upf
CELL_PARAMETERS angstrom
-3.6104 7.3636 3.7977
3.6104 -7.3636 3.7977
3.6104 7.3636 -3.7977
ATOMIC_POSITIONS crystal
Tb 0.0000 0.0000 0.0000
Tb 0.5000 0.5000 0.0000
Sm 0.0224 0.2500 0.7724
Sm 0.2500 0.7500 0.5000
Sm 0.4776 0.2500 0.2276
Sm 0.5224 0.7500 0.7724
Sm 0.7500 0.2500 0.5000
Sm 0.9776 0.7500 0.2276
Hg 0.1386 0.7006 0.8392
Hg 0.3614 0.2006 0.5620
Hg 0.6386 0.7994 0.4380
Hg 0.8614 0.2994 0.1608


10.
! PBE TbSm2Hg5, relaxed; values from VASP
! SG: I4/mmm
! Energy of formation (eV/f.u.): -3.38
! Total magnetic moment (Bohr magnetons per cell): 0.00
&SYSTEM
  ibrav = 0, nat = 16, ntyp = 3
/
ATOMIC_SPECIES
Tb 158.93 Tb.upf
Sm 150.36 Sm.upf
Hg 200.59 Hg.upf
CELL_PARAMETERS angstrom
5.2394 0.0000 0.0000
0.0000 5.2394 0.0000
0.0000 0.0000 14.9025
ATOMIC_POSITIONS crystal
Tb 0.0000 0.0000 0.0000
Tb 0.5000 0.5000 0.5000
Sm 0.0000 0.0000 0.2656
Sm 0.0000 0.0000 0.7344
Sm 0.5000 0.5000 0.2344
Sm 0.5000 0.5000 0.7656
Hg 0.0000 0.0000 0.5000
Hg 0.0000 0.5000 0.1207
Hg 0.0000 0.5000 0.3793
Hg 0.0000 0.5000 0.6207
Hg 0.0000 0.5000 0.8793
Hg 0.5000 0.0000 0.1207
Hg 0.5000 0.0000 0.3793
Hg 0.5000 0.0000 0.6207
Hg 0.5000 0.0000 0.8793
Hg 0.5000 0.5000 0.0000


11.
! PBE Tb2Sm2Hg3, relaxed; values from VASP
! SG: R-3m
! Energy of formation (eV/f.u.): -2.18
! Total magnetic moment (Bohr magnetons per cell): 0.13
&SYSTEM
  ibrav = 0, nat = 7, ntyp = 3
/
ATOMIC_SPECIES
Tb 158.93 Tb.upf
Sm 150.36 Sm.upf
Hg 200.59 Hg.upf
CELL_PARAMETERS angstrom
2.6373 1.5226 8.4656
-2.6373 1.5226 8.4656
0.0000 -3.0453 8.4656
ATOMIC_POSITIONS crystal
Tb 0.1278 0.1278 0.1278
Tb 0.8722 0.8722 0.8722
Sm 0.3807 0.3807 0.3807
Sm 0.6193 0.6193 0.6193
Hg 0.0000 0.0000 0.0000
Hg 0.2480 0.2480 0.2480
Hg 0.7520 0.7520 0.7520


12.
! PBE TbSm4Hg, relaxed; values from VASP
! SG: P4/mmm
! Energy of formation (eV/f.u.): -0.87
! Offset from the most stable computed form (eV per atom): 0.000
! Total magnetic moment (Bohr magnetons per cell): 0.00
&SYSTEM
  ibrav = 0, nat = 6, ntyp = 3
/
ATOMIC_SPECIES
Tb 158.93 Tb.upf
Sm 150.36 Sm.upf
Hg 200.59 Hg.upf
CELL_PARAMETERS angstrom
3.6449 0.0000 0.0000
0.0000 3.6449 0.0000
0.0000 0.0000 14.1673
ATOMIC_POSITIONS crystal
Tb 0.0000 0.0000 0.0000
Sm 0.0000 0.0000 0.3562
Sm 0.0000 0.0000 0.6438
Sm 0.5000 0.5000 0.1770
Sm 0.5000 0.5000 0.8230
Hg 0.5000 0.5000 0.5000